This record from Alexandria describes crystalline P2WSN at its relaxed geometry. The functional is PBEsol.

Cell lengths 4.580, 4.679, 4.679 Å; angles 90.00, 90.00, 90.00 degrees
Fractional positions:
P: 0.000 0.000 0.500
P: 0.000 0.500 0.000
W: 0.000 0.000 0.000
S: 0.500 0.000 0.000
N: 0.500 0.500 0.500

The calculation puts the raw formation energy at 662 kJ/mol of formula units. The total magnetization comes out at 0.4826 μB/atom. Its calculated volume is 20.05 Å³ per atom. As for the space group: P4/mmm, No. 123. The density of states at the Fermi level comes out at 2.9 states/eV/cell.